Entry 1:
Density functional theory data (PBE) for a relaxed Cs2ZrTaBr6 crystal.

abc: 7.7222 7.7222 7.7222
angles: 60.00 60.00 60.00
Last column: nearest neighbours and their distance in Å.
Positions (direct):
Cs (0.2500, 0.2500, 0.2500)  12 Br 3.86
Cs (0.7500, 0.7500, 0.7500)  12 Br 3.86
Zr (0.0000, 0.0000, 0.0000)  6 Br 2.77
Ta (0.5000, 0.5000, 0.5000)  6 Br 2.69
Br (0.2540, 0.2540, 0.7460)  1 Ta 2.69, 1 Zr 2.77
Br (0.2540, 0.7460, 0.2540)  1 Ta 2.69, 1 Zr 2.77
Br (0.2540, 0.7460, 0.7460)  1 Ta 2.69, 1 Zr 2.77
Br (0.7460, 0.2540, 0.2540)  1 Ta 2.69, 1 Zr 2.77
Br (0.7460, 0.2540, 0.7460)  1 Ta 2.69, 1 Zr 2.77
Br (0.7460, 0.7460, 0.2540)  1 Ta 2.69, 1 Zr 2.77

Values from the calculation:
DOS at the Fermi energy (states/eV per cell): 6.22
Crystal system: cubic
Uncorrected formation energy (eV per formula unit): -9.62
Electronic total energy (eV for the cell shown): -41.76


Entry 2:
Density functional theory data (PBE) for a relaxed BaBeGa crystal.

abc: 5.1561 4.1884 4.1884
angles: 59.66 90.00 90.00
Last column: nearest neighbours and their distance in Å.
Positions (direct):
Ba (0.0000, 0.0000, 0.0000)  6 Ga 3.53-3.54, 6 Be 3.53-3.54
Be (0.5000, 0.6665, 0.6665)  3 Ga 2.41-2.42
Ga (0.5000, 0.3335, 0.3335)  3 Be 2.41-2.42

Values from the calculation:
DOS at the Fermi energy (states/eV per cell): 2.64
Crystal system: orthorhombic
Calculated formation energy (eV per atom): 0.00
Electronic total energy (eV for the cell shown): -8.66


Entry 3:
Density functional theory data (PBE) for a relaxed BaSi2Rh crystal.

abc: 3.2907 3.2907 7.4653
angles: 90.00 90.00 90.00
Last column: nearest neighbours and their distance in Å.
Positions (direct):
Ba (0.0000, 0.0000, 0.0000)  4 Ba 3.29, 5 Si 3.35-3.60, 4 Rh 3.53
Si (0.0000, 0.0000, 0.4823)  4 Rh 2.51, 4 Si 2.74
Si (0.5000, 0.5000, 0.6773)  1 Rh 2.40
Rh (0.5000, 0.5000, 0.3555)  5 Si 2.40-2.51

Values from the calculation:
DOS at the Fermi energy (states/eV per cell): 1.84
Crystal system: tetragonal
Uncorrected formation energy (eV per formula unit): -0.73
Electronic total energy (eV for the cell shown): -20.85


Entry 4:
Density functional theory data (PBE) for a relaxed RbNiGe3 crystal.

abc: 5.5098 5.5098 5.5098
angles: 90.00 90.00 90.00
Last column: nearest neighbours and their distance in Å.
Positions (direct):
Rb (0.0000, 0.0000, 0.0000)  6 Ge 2.75
Ni (0.5000, 0.5000, 0.5000)  12 Ge 3.90
Ge (0.0000, 0.0000, 0.5000)  2 Rb 2.75
Ge (0.0000, 0.5000, 0.0000)  2 Rb 2.75
Ge (0.5000, 0.0000, 0.0000)  2 Rb 2.75

Values from the calculation:
DOS at the Fermi energy (states/eV per cell): 4.70
Crystal system: cubic
Calculated formation energy (eV per atom): 2.21
Electronic total energy (eV for the cell shown): -9.56